*one*
An optimized crystal structure of Zn2RhO2. Source: the Alexandria database, functional PBE.

a = 4.200 Å, b = 4.200 Å, c = 7.655 Å
α = 90.00°, β = 90.00°, γ = 90.00°
Atoms (fractional coordinates):
Zn: 0.000 0.500 0.250
Zn: 0.000 0.500 0.750
Zn: 0.500 0.000 0.250
Zn: 0.500 0.000 0.750
Rh: 0.000 0.000 0.000
Rh: 0.500 0.500 0.500
O: 0.000 0.000 0.268
O: 0.000 0.000 0.732
O: 0.500 0.500 0.232
O: 0.500 0.500 0.768

DOS at the Fermi energy in states/eV/f.u.: 4.3

=====

*two*
An optimized crystal structure of Zn2RhO2. Source: the Alexandria database, functional PBE.

a = 3.821 Å, b = 3.821 Å, c = 8.395 Å
α = 90.00°, β = 90.00°, γ = 90.00°
Atoms (fractional coordinates):
Zn: 0.000 0.000 0.154
Zn: 0.000 0.000 0.846
Zn: 0.500 0.500 0.346
Zn: 0.500 0.500 0.654
Rh: 0.000 0.000 0.500
Rh: 0.500 0.500 0.000
O: 0.000 0.500 0.250
O: 0.000 0.500 0.750
O: 0.500 0.000 0.250
O: 0.500 0.000 0.750

DOS at the Fermi energy in states/eV/f.u.: 4.7

=====

It is *one* that is most stable; the runner-up trails by 221 meV per atom.

=====

*one*
An optimized crystal structure of ZnRh3O. Source: the Alexandria database, functional PBE.

a = 4.600 Å, b = 4.600 Å, c = 4.600 Å
α = 90.00°, β = 90.00°, γ = 90.00°
Atoms (fractional coordinates):
Zn: 0.000 0.000 0.000
Rh: 0.000 0.000 0.500
Rh: 0.000 0.500 0.000
Rh: 0.500 0.000 0.000
O: 0.500 0.500 0.500

DOS at the Fermi energy in states/eV/f.u.: 5.1

=====

*two*
An optimized crystal structure of ZnRh3O. Source: the Alexandria database, functional PBE.

a = 4.096 Å, b = 4.096 Å, c = 4.096 Å
α = 90.00°, β = 90.00°, γ = 90.00°
Atoms (fractional coordinates):
Zn: 0.000 0.000 0.000
Rh: 0.000 0.500 0.500
Rh: 0.500 0.000 0.500
Rh: 0.500 0.500 0.000
O: 0.500 0.500 0.500

DOS at the Fermi energy in states/eV/f.u.: 6.1

=====

It is *two* that is most stable; the runner-up trails by 1606 meV per atom.

=====

*one*
An optimized crystal structure of ZrRhO2. Source: the Alexandria database, functional PBE.

a = 3.359 Å, b = 3.359 Å, c = 17.397 Å
α = 90.00°, β = 90.00°, γ = 120.00°
Atoms (fractional coordinates):
Zr: 0.000 0.000 0.000
Zr: 0.333 0.667 0.667
Zr: 0.667 0.333 0.333
Rh: 0.000 0.000 0.500
Rh: 0.333 0.667 0.167
Rh: 0.667 0.333 0.833
O: 0.000 0.000 0.384
O: 0.000 0.000 0.616
O: 0.333 0.667 0.050
O: 0.333 0.667 0.283
O: 0.667 0.333 0.717
O: 0.667 0.333 0.950

DOS at the Fermi energy in states/eV/f.u.: 1.5

=====

*two*
An optimized crystal structure of ZrRhO2. Source: the Alexandria database, functional PBE.

a = 4.173 Å, b = 4.173 Å, c = 12.536 Å
α = 90.00°, β = 90.00°, γ = 90.00°
Atoms (fractional coordinates):
Zr: 0.000 0.000 0.000
Zr: 0.000 0.500 0.250
Zr: 0.500 0.000 0.750
Zr: 0.500 0.500 0.500
Rh: 0.000 0.000 0.500
Rh: 0.000 0.500 0.750
Rh: 0.500 0.000 0.250
Rh: 0.500 0.500 0.000
O: 0.226 0.250 0.125
O: 0.250 0.726 0.375
O: 0.250 0.774 0.875
O: 0.274 0.250 0.625
O: 0.726 0.750 0.625
O: 0.750 0.226 0.875
O: 0.750 0.274 0.375
O: 0.774 0.750 0.125

DOS at the Fermi energy in states/eV/f.u.: 1.4

=====

It is *one* that is most stable; the runner-up trails by 263 meV per atom.

=====

*one*
An optimized crystal structure of RuS2O. Source: the Alexandria database, functional PBE.

a = 5.827 Å, b = 5.827 Å, c = 5.827 Å
α = 90.00°, β = 90.00°, γ = 90.00°
Atoms (fractional coordinates):
Ru: 0.000 0.000 0.000
Ru: 0.000 0.500 0.500
Ru: 0.500 0.000 0.500
Ru: 0.500 0.500 0.000
S: 0.250 0.250 0.250
S: 0.250 0.250 0.750
S: 0.250 0.750 0.250
S: 0.250 0.750 0.750
S: 0.750 0.250 0.250
S: 0.750 0.250 0.750
S: 0.750 0.750 0.250
S: 0.750 0.750 0.750
O: 0.000 0.000 0.500
O: 0.000 0.500 0.000
O: 0.500 0.000 0.000
O: 0.500 0.500 0.500

DOS at the Fermi energy in states/eV/f.u.: 2.7

=====

*two*
An optimized crystal structure of RuS2O. Source: the Alexandria database, functional PBE.

a = 2.903 Å, b = 2.903 Å, c = 22.638 Å
α = 90.00°, β = 90.00°, γ = 120.00°
Atoms (fractional coordinates):
Ru: 0.000 0.000 0.000
Ru: 0.333 0.667 0.667
Ru: 0.667 0.333 0.333
S: 0.000 0.000 0.097
S: 0.000 0.000 0.903
S: 0.333 0.667 0.569
S: 0.333 0.667 0.764
S: 0.667 0.333 0.236
S: 0.667 0.333 0.431
O: 0.000 0.000 0.500
O: 0.333 0.667 0.167
O: 0.667 0.333 0.833

DOS at the Fermi energy in states/eV/f.u.: 2.6

=====

It is *one* that is most stable; the runner-up trails by 235 meV per atom.

=====

*one*
An optimized crystal structure of RuS2O. Source: the Alexandria database, functional PBE.

a = 5.248 Å, b = 5.248 Å, c = 9.884 Å
α = 90.00°, β = 90.00°, γ = 90.00°
Atoms (fractional coordinates):
Ru: 0.000 0.000 0.000
Ru: 0.000 0.500 0.250
Ru: 0.500 0.000 0.750
Ru: 0.500 0.500 0.500
S: 0.246 0.250 0.125
S: 0.250 0.746 0.375
S: 0.250 0.754 0.875
S: 0.254 0.250 0.625
S: 0.746 0.750 0.625
S: 0.750 0.246 0.875
S: 0.750 0.254 0.375
S: 0.754 0.750 0.125
O: 0.000 0.000 0.500
O: 0.000 0.500 0.750
O: 0.500 0.000 0.250
O: 0.500 0.500 0.000

DOS at the Fermi energy in states/eV/f.u.: 0.3

=====

*two*
An optimized crystal structure of RuS2O. Source: the Alexandria database, functional PBE.

a = 3.665 Å, b = 3.665 Å, c = 16.520 Å
α = 90.00°, β = 90.00°, γ = 120.00°
Atoms (fractional coordinates):
Ru: 0.000 0.000 0.000
Ru: 0.333 0.667 0.667
Ru: 0.667 0.333 0.333
S: 0.000 0.000 0.398
S: 0.000 0.000 0.602
S: 0.333 0.667 0.065
S: 0.333 0.667 0.269
S: 0.667 0.333 0.731
S: 0.667 0.333 0.935
O: 0.000 0.000 0.500
O: 0.333 0.667 0.167
O: 0.667 0.333 0.833

DOS at the Fermi energy in states/eV/f.u.: 0.1

=====

It is *two* that is most stable; the runner-up trails by 424 meV per atom.

=====

*one*
An optimized crystal structure of ScRu3O. Source: the Alexandria database, functional PBE.

a = 4.688 Å, b = 4.688 Å, c = 4.688 Å
α = 90.00°, β = 90.00°, γ = 90.00°
Atoms (fractional coordinates):
Sc: 0.000 0.000 0.000
Ru: 0.000 0.000 0.500
Ru: 0.000 0.500 0.000
Ru: 0.500 0.000 0.000
O: 0.500 0.500 0.500

DOS at the Fermi energy in states/eV/f.u.: 5.1

=====

*two*
An optimized crystal structure of ScRu3O. Source: the Alexandria database, functional PBE.

a = 4.110 Å, b = 4.110 Å, c = 4.110 Å
α = 90.00°, β = 90.00°, γ = 90.00°
Atoms (fractional coordinates):
Sc: 0.000 0.000 0.000
Ru: 0.000 0.500 0.500
Ru: 0.500 0.000 0.500
Ru: 0.500 0.500 0.000
O: 0.500 0.500 0.500

DOS at the Fermi energy in states/eV/f.u.: 3.6

=====

It is *two* that is most stable; the runner-up trails by 2346 meV per atom.